(1)
VASP calculation (PBE) on an optimized crystal structure of Nd3Y2Sc.

Unit cell a=9.3008 b=9.3008 c=7.1846 alpha=90.00 beta=90.00 gamma=39.93
Closest atoms and distances in Å follow each position.
Atoms (fractional coordinates):
Nd (0.1503, 0.2129, 0.7500)  3 Nd 3.49-3.61, 6 Y 3.55-3.89, 1 Sc 3.61
Nd (0.1949, 0.8051, 0.7500)  2 Sc 3.16-3.19, 2 Nd 3.49
Nd (0.2129, 0.1503, 0.2500)  3 Nd 3.49-3.61, 6 Y 3.55-3.89, 1 Sc 3.61
Nd (0.7871, 0.8497, 0.7500)  3 Nd 3.49-3.61, 6 Y 3.55-3.89, 1 Sc 3.61
Nd (0.8051, 0.1949, 0.2500)  2 Sc 3.16-3.19, 2 Nd 3.49
Nd (0.8497, 0.7871, 0.2500)  3 Nd 3.49-3.61, 6 Y 3.55-3.89, 1 Sc 3.61
Y (0.3582, 0.3582, 0.0000)  2 Sc 3.31, 6 Nd 3.55-3.62, 2 Y 3.59
Y (0.3582, 0.3582, 0.5000)  2 Sc 3.31, 6 Nd 3.55-3.62, 2 Y 3.59
Y (0.6418, 0.6418, 0.0000)  2 Sc 3.31, 6 Nd 3.55-3.62, 2 Y 3.59
Y (0.6418, 0.6418, 0.5000)  2 Sc 3.31, 6 Nd 3.55-3.62, 2 Y 3.59
Sc (0.3025, 0.6975, 0.2500)  2 Nd 3.16-3.19, 4 Y 3.31
Sc (0.6975, 0.3025, 0.7500)  2 Nd 3.16-3.19, 4 Y 3.31

Summary:
Offset from the most stable computed form in kJ/mol of formula units: 47
Energy of formation from the pure elements in eV per atom: 0.12
ρ in g/cm³: 5.5
Total magnetic moment in μB per formula unit: 0.0

***

(2)
VASP calculation (PBE) on an optimized crystal structure of ScBe.

Unit cell a=5.9085 b=5.9085 c=5.9085 alpha=37.70 beta=37.70 gamma=37.70
Closest atoms and distances in Å follow each position.
Atoms (fractional coordinates):
Sc (0.0931, 0.0931, 0.0931)  6 Be 2.64-2.73
Sc (0.9069, 0.9069, 0.9069)  6 Be 2.64-2.73
Be (0.3287, 0.3287, 0.3287)  3 Be 2.21
Be (0.6713, 0.6713, 0.6713)  3 Be 2.21

Summary:
Energy of formation from the pure elements in eV per atom: 0.04
ρ in g/cm³: 2.6
Total magnetic moment in μB per formula unit: 0.4

***

(3)
VASP calculation (PBE) on an optimized crystal structure of ThCoH3.

Unit cell a=6.2503 b=4.2135 c=8.4638 alpha=90.00 beta=109.60 gamma=90.00
Closest atoms and distances in Å follow each position.
Atoms (fractional coordinates):
Th (0.2159, 0.2440, 0.1779)  8 H 2.27-2.42
Th (0.2159, 0.2560, 0.6779)  8 H 2.27-2.42
Th (0.7841, 0.7440, 0.3221)  8 H 2.27-2.42
Th (0.7841, 0.7560, 0.8221)  8 H 2.27-2.42
Co (0.3502, 0.7446, 0.9632)  4 H 1.58-1.69
Co (0.3502, 0.7554, 0.4632)  4 H 1.58-1.69
Co (0.6498, 0.2446, 0.5368)  4 H 1.58-1.69
Co (0.6498, 0.2554, 0.0368)  4 H 1.58-1.69
H (0.1379, 0.0085, 0.4100)  1 Co 1.64
H (0.1379, 0.4915, 0.9100)  1 Co 1.64
H (0.1551, 0.0034, 0.9116)  1 Co 1.58
H (0.1551, 0.4966, 0.4116)  1 Co 1.58
H (0.4989, 0.0009, 0.6174)  2 Co 1.68-1.69
H (0.4989, 0.4991, 0.1174)  2 Co 1.68-1.69
H (0.5011, 0.5009, 0.8826)  2 Co 1.68-1.69
H (0.5011, 0.9991, 0.3826)  2 Co 1.68-1.69
H (0.8449, 0.5034, 0.5884)  1 Co 1.58
H (0.8449, 0.9966, 0.0884)  1 Co 1.58
H (0.8621, 0.5085, 0.0900)  1 Co 1.64
H (0.8621, 0.9915, 0.5900)  1 Co 1.64

Summary:
Electronic total energy in eV/atom: -5.291
ρ in g/cm³: 9.3
Total magnetic moment in μB per formula unit: 0.0

***

(4)
VASP calculation (PBE) on an optimized crystal structure of Cd3SnB.

Unit cell a=4.7628 b=4.7628 c=4.7628 alpha=90.00 beta=90.00 gamma=90.00
Closest atoms and distances in Å follow each position.
Atoms (fractional coordinates):
Cd (0.0000, 0.0000, 0.5000)  2 B 2.38
Cd (0.0000, 0.5000, 0.0000)  2 B 2.38
Cd (0.5000, 0.0000, 0.0000)  2 B 2.38
Sn (0.5000, 0.5000, 0.5000)  12 Cd 3.37
B (0.0000, 0.0000, 0.0000)  6 Cd 2.38

Summary:
Offset from the most stable computed form in kJ/mol of formula units: 0
Energy of formation from the pure elements in eV per atom: 0.51
ρ in g/cm³: 7.2
Total magnetic moment in μB per formula unit: 0.0

***

(5)
VASP calculation (PBE) on an optimized crystal structure of Tl3TeCl2O6.

Unit cell a=6.5629 b=6.5629 c=5.9949 alpha=98.56 beta=98.56 gamma=62.06
Closest atoms and distances in Å follow each position.
Atoms (fractional coordinates):
Tl (0.0000, 0.0000, 0.0000)  2 Cl 2.69, 4 O 2.72
Tl (0.0000, 0.5000, 0.5000)  4 O 2.21-2.32
Tl (0.5000, 0.0000, 0.5000)  4 O 2.21-2.32
Te (0.5000, 0.5000, 0.5000)  6 O 1.98-2.01
Cl (0.2085, 0.2085, 0.8364)  3 Tl 2.69-2.73, 1 O 2.97
Cl (0.7915, 0.7915, 0.1636)  3 Tl 2.69-2.73, 1 O 2.97
O (0.2230, 0.6520, 0.6821)  1 Te 2.01, 1 Tl 2.21
O (0.3359, 0.3359, 0.3148)  1 Te 1.98
O (0.3480, 0.7770, 0.3179)  1 Te 2.01, 1 Tl 2.21
O (0.6520, 0.2230, 0.6821)  1 Te 2.01, 1 Tl 2.21
O (0.6641, 0.6641, 0.6852)  1 Te 1.98
O (0.7770, 0.3480, 0.3179)  1 Te 2.01, 1 Tl 2.21

Summary:
Electronic total energy in eV/atom: -4.259
ρ in g/cm³: 6.7
Total magnetic moment in μB per formula unit: 0.0

***

(6)
VASP calculation (PBE) on an optimized crystal structure of La2Sc2Ti.

Unit cell a=9.0558 b=9.0558 c=3.4198 alpha=90.00 beta=90.00 gamma=90.00
Closest atoms and distances in Å follow each position.
Atoms (fractional coordinates):
La (0.1806, 0.3194, 0.0000)  6 Sc 3.07-3.26, 2 La 3.42
La (0.3194, 0.8194, 0.0000)  6 Sc 3.07-3.26, 2 La 3.42
La (0.6806, 0.1806, 0.0000)  6 Sc 3.07-3.26, 2 La 3.42
La (0.8194, 0.6806, 0.0000)  6 Sc 3.07-3.26, 2 La 3.42
Sc (0.1204, 0.6204, 0.5000)  6 La 3.07-3.26, 3 Sc 3.08-3.42
Sc (0.3796, 0.1204, 0.5000)  6 La 3.07-3.26, 3 Sc 3.08-3.42
Sc (0.6204, 0.8796, 0.5000)  6 La 3.07-3.26, 3 Sc 3.08-3.42
Sc (0.8796, 0.3796, 0.5000)  6 La 3.07-3.26, 3 Sc 3.08-3.42
Ti (0.0000, 0.0000, 0.5000)  2 Ti 3.42, 4 Sc 3.61, 8 La 3.74
Ti (0.5000, 0.5000, 0.5000)  2 Ti 3.42, 4 Sc 3.61, 8 La 3.74

Summary:
Energy of formation from the pure elements in eV per atom: 0.41
ρ in g/cm³: 4.9
Total magnetic moment in μB per formula unit: 1.6

***

(7)
VASP calculation (PBE) on an optimized crystal structure of Pa4Ge2C.

Unit cell a=8.2318 b=8.2318 c=8.2318 alpha=147.50 beta=147.50 gamma=46.62
Closest atoms and distances in Å follow each position.
Atoms (fractional coordinates):
Pa (0.0000, 0.5000, 0.5000)  2 C 2.30
Pa (0.1629, 0.1629, 0.0000)  1 C 2.46
Pa (0.5000, 0.0000, 0.5000)  2 C 2.30
Pa (0.8371, 0.8371, 0.0000)  1 C 2.46
Ge (0.3594, 0.3594, 0.0000)  9 Pa 2.97-3.27
Ge (0.6406, 0.6406, 0.0000)  9 Pa 2.97-3.27
C (0.0000, 0.0000, 0.0000)  6 Pa 2.30-2.46

Summary:
Offset from the most stable computed form in kJ/mol of formula units: 0
Energy of formation from the pure elements in eV per atom: -0.28
ρ in g/cm³: 11.2
Total magnetic moment in μB per formula unit: 0.0

***

(8)
VASP calculation (PBE) on an optimized crystal structure of Pm3Bi.

Unit cell a=6.6768 b=4.1866 c=9.8055 alpha=90.00 beta=99.74 gamma=90.00
Closest atoms and distances in Å follow each position.
Atoms (fractional coordinates):
Pm (0.0843, 0.2500, 0.3557)  2 Pm 3.28-3.41, 2 Bi 3.30
Pm (0.2709, 0.7500, 0.0924)  4 Bi 3.20-3.43
Pm (0.4015, 0.7500, 0.6246)  4 Pm 3.28-3.63, 2 Bi 3.37
Pm (0.5985, 0.2500, 0.3754)  4 Pm 3.28-3.63, 2 Bi 3.37
Pm (0.7291, 0.2500, 0.9076)  4 Bi 3.20-3.43
Pm (0.9157, 0.7500, 0.6443)  2 Pm 3.28-3.41, 2 Bi 3.30
Bi (0.2168, 0.2500, 0.8417)  8 Pm 3.20-3.43
Bi (0.7832, 0.7500, 0.1583)  8 Pm 3.20-3.43

Summary:
Offset from the most stable computed form in kJ/mol of formula units: 16
Energy of formation from the pure elements in eV per atom: -0.38
ρ in g/cm³: 7.9
Total magnetic moment in μB per formula unit: 0.0

***

(9)
VASP calculation (PBE) on an optimized crystal structure of CaSiN.

Unit cell a=5.1513 b=5.1513 c=5.1513 alpha=115.68 beta=92.20 gamma=121.89
Closest atoms and distances in Å follow each position.
Atoms (fractional coordinates):
Ca (0.0000, 0.0000, 0.0000)  4 N 2.58
Ca (0.5000, 0.0000, 0.5000)  4 N 2.58
Si (0.2789, 0.5289, 0.7500)  2 N 1.76
Si (0.7211, 0.4711, 0.2500)  2 N 1.76
N (0.5000, 0.0000, 0.0000)  2 Si 1.76
N (0.5000, 0.5000, 0.5000)  2 Si 1.76

Summary:
Offset from the most stable computed form in kJ/mol of formula units: 1
ρ in g/cm³: 2.8
Total magnetic moment in μB per formula unit: 0.0

***

(10)
VASP calculation (PBE) on an optimized crystal structure of Ho4Tl2In.

Unit cell a=7.3162 b=6.6128 c=9.0208 alpha=90.00 beta=109.95 gamma=90.00
Closest atoms and distances in Å follow each position.
Atoms (fractional coordinates):
Ho (0.0760, 0.2500, 0.0447)  1 In 3.08, 1 Tl 3.38
Ho (0.1678, 0.0040, 0.7240)  1 In 3.03, 4 Tl 3.13-3.37, 2 Ho 3.25-3.36
Ho (0.1678, 0.4960, 0.7240)  1 In 3.03, 4 Tl 3.13-3.37, 2 Ho 3.25-3.36
Ho (0.3070, 0.7500, 0.3447)  2 Tl 3.13-3.39, 1 In 3.16
Ho (0.6930, 0.2500, 0.6553)  2 Tl 3.13-3.39, 1 In 3.16
Ho (0.8322, 0.5040, 0.2760)  1 In 3.03, 4 Tl 3.13-3.37, 2 Ho 3.25-3.36
Ho (0.8322, 0.9960, 0.2760)  1 In 3.03, 4 Tl 3.13-3.37, 2 Ho 3.25-3.36
Ho (0.9240, 0.7500, 0.9553)  1 In 3.08, 1 Tl 3.38
Tl (0.2120, 0.2500, 0.4423)  1 In 2.86, 4 Ho 3.13-3.15
Tl (0.4320, 0.7500, 0.0457)  5 Ho 3.13-3.37, 1 In 3.22
Tl (0.5680, 0.2500, 0.9543)  5 Ho 3.13-3.37, 1 In 3.22
Tl (0.7880, 0.7500, 0.5577)  1 In 2.86, 4 Ho 3.13-3.15
In (0.4917, 0.2500, 0.2853)  1 Tl 2.86, 4 Ho 3.03-3.16
In (0.5083, 0.7500, 0.7147)  1 Tl 2.86, 4 Ho 3.03-3.16

Summary:
Offset from the most stable computed form in kJ/mol of formula units: 56
Energy of formation from the pure elements in eV per atom: -0.14
ρ in g/cm³: 9.6
Total magnetic moment in μB per formula unit: 0.0

***

(11)
VASP calculation (PBE) on an optimized crystal structure of CaTb2ZrAs4.

Unit cell a=7.0209 b=4.0730 c=7.1086 alpha=90.00 beta=109.08 gamma=90.00
Closest atoms and distances in Å follow each position.
Atoms (fractional coordinates):
Ca (0.0000, 0.0000, 0.0000)  6 As 2.89-2.91
Tb (0.5000, 0.0000, 0.5000)  6 As 2.87
Tb (0.5000, 0.5000, 0.0000)  6 As 2.96
Zr (0.0000, 0.5000, 0.5000)  6 As 2.79-2.82
As (0.2391, 0.0000, 0.7376)  2 Zr 2.82, 3 Tb 2.87-2.96, 1 Ca 2.89
As (0.2458, 0.5000, 0.2606)  1 Zr 2.79, 3 Tb 2.87-2.96, 2 Ca 2.91
As (0.7542, 0.5000, 0.7394)  1 Zr 2.79, 3 Tb 2.87-2.96, 2 Ca 2.91
As (0.7609, 0.0000, 0.2624)  2 Zr 2.82, 3 Tb 2.87-2.96, 1 Ca 2.89

Summary:
Energy of formation from the pure elements in eV per atom: -1.32
ρ in g/cm³: 6.5
Total magnetic moment in μB per formula unit: 0.0

***

(12)
VASP calculation (PBE) on an optimized crystal structure of CsGa3Re.

Unit cell a=5.8385 b=5.8385 c=5.8385 alpha=90.00 beta=90.00 gamma=90.00
Closest atoms and distances in Å follow each position.
Atoms (fractional coordinates):
Cs (0.0000, 0.0000, 0.0000)  6 Ga 2.92
Ga (0.0000, 0.0000, 0.5000)  2 Cs 2.92
Ga (0.0000, 0.5000, 0.0000)  2 Cs 2.92
Ga (0.5000, 0.0000, 0.0000)  2 Cs 2.92
Re (0.5000, 0.5000, 0.5000)  12 Ga 4.13

Summary:
Offset from the most stable computed form in kJ/mol of formula units: 1161
Energy of formation from the pure elements in eV per atom: 2.40
ρ in g/cm³: 4.4
Total magnetic moment in μB per formula unit: 3.4